RbMgBe | the Alexandria database | GGA-PBE | relaxed; N(E_F) = 2.64 states/eV/cell; uncorrected energy = -1.722 eV/atom
1.0
4.269 0.000 0.000
0.000 4.462 0.000
0.023 2.209 11.269
Rb Mg Be
2 2 2
direct
0.000 0.000 0.000
0.495 0.694 0.622
0.497 0.391 0.221
0.997 0.302 0.402
0.253 0.846 0.311
0.753 0.847 0.310

***

La2ZnCo3Ni12 | the Alexandria database | GGA-PBE | relaxed; N(E_F) = 25.57 states/eV/cell; uncorrected energy = -5.556 eV/atom
1.0
4.181 2.414 4.022
-4.181 2.414 4.022
0.000 -4.828 4.022
La Zn Co Ni
2 1 3 12
direct
0.230 0.230 0.230
0.770 0.770 0.770
0.500 0.500 0.500
0.000 0.500 0.500
0.500 0.000 0.500
0.500 0.500 0.000
0.079 0.079 0.651
0.079 0.651 0.079
0.228 0.699 0.699
0.301 0.301 0.772
0.301 0.772 0.301
0.349 0.921 0.921
0.651 0.079 0.079
0.699 0.228 0.699
0.699 0.699 0.228
0.772 0.301 0.301
0.921 0.349 0.921
0.921 0.921 0.349